Record 1
PBE KTc2Rh, optimized geometry; crystal system = cubic; symmetry = F-43m (216); formation enthalpy at 0 K = 1.2129 eV per atom; energy relative to the lowest polymorph listed for this composition = 650 meV per atom
1.0
6.437 0.000 0.000
0.000 6.437 0.000
0.000 0.000 6.437
K Tc Rh
4 8 4
Direct
0.000 0.000 0.000
0.000 0.500 0.500
0.500 0.000 0.500
0.500 0.500 0.000
0.000 0.000 0.500
0.000 0.500 0.000
0.250 0.250 0.250
0.250 0.750 0.750
0.500 0.000 0.000
0.500 0.500 0.500
0.750 0.250 0.750
0.750 0.750 0.250
0.250 0.250 0.750
0.250 0.750 0.250
0.750 0.250 0.250
0.750 0.750 0.750


Record 2
PBE PmDy2N, optimized geometry; uncorrected formation energy = -0.7 eV per formula unit; crystal system = tetragonal; symmetry = P4/mmm (123); energy relative to the lowest polymorph listed for this composition = 595 meV per atom
1.0
3.176 0.000 0.000
0.000 3.176 0.000
0.000 0.000 8.917
Pm Dy N
1 2 1
Direct
0.000 0.000 0.000
0.500 0.500 0.341
0.500 0.500 0.659
0.000 0.000 0.500


Record 3
PBE NpHRh4, optimized geometry; E = -0.2857 Ha/atom; crystal system = monoclinic; symmetry = C2/c (15)
1.0
3.753 -4.745 0.000
3.753 4.745 0.000
-1.177 0.000 4.695
Np H Rh
2 2 8
Direct
0.139 0.861 0.750
0.861 0.139 0.250
0.493 0.507 0.750
0.507 0.493 0.250
0.067 0.308 0.876
0.263 0.519 0.448
0.308 0.067 0.376
0.481 0.737 0.052
0.519 0.263 0.948
0.692 0.933 0.624
0.737 0.481 0.552
0.933 0.692 0.124


Record 4
PBE ErZn2BRu2, optimized geometry; crystal system = tetragonal; symmetry = P4/mmm (123); formation enthalpy at 0 K = -0.3618 eV per atom
1.0
4.196 0.000 0.000
0.000 4.196 0.000
0.000 0.000 5.314
Er Zn B Ru
1 2 1 2
Direct
0.000 0.000 0.000
0.500 0.500 0.226
0.500 0.500 0.774
0.000 0.000 0.500
0.000 0.500 0.500
0.500 0.000 0.500


Record 5
PBE Si2HgSe, optimized geometry; uncorrected formation energy = 1.5 eV per formula unit; crystal system = orthorhombic; symmetry = Imm2 (44); energy relative to the lowest polymorph listed for this composition = 219 meV per atom
1.0
3.407 0.000 0.000
0.000 4.747 0.000
0.000 0.000 13.893
Si Hg Se
4 2 2
Direct
0.000 0.000 0.000
0.000 0.500 0.377
0.500 0.000 0.877
0.500 0.500 0.500
0.000 0.500 0.061
0.500 0.000 0.561
0.000 0.000 0.756
0.500 0.500 0.256


Record 6
PBE LuMnAgRh, optimized geometry; crystal system = cubic; symmetry = F-43m (216); formation enthalpy at 0 K = -0.2717 eV per atom
1.0
6.597 0.000 0.000
0.000 6.597 0.000
0.000 0.000 6.597
Lu Mn Ag Rh
4 4 4 4
Direct
0.000 0.000 0.000
0.000 0.500 0.500
0.500 0.000 0.500
0.500 0.500 0.000
0.000 0.000 0.500
0.000 0.500 0.000
0.500 0.000 0.000
0.500 0.500 0.500
0.250 0.250 0.750
0.250 0.750 0.250
0.750 0.250 0.250
0.750 0.750 0.750
0.250 0.250 0.250
0.250 0.750 0.750
0.750 0.250 0.750
0.750 0.750 0.250


| no. | density (g/cm3) | spin magnetization (μB per formula unit) |
| --- | --- | --- |
| 1 | 8.42 | 0.00 |
| 2 | 8.94 | 0.00 |
| 3 | 12.90 | 1.14 |
| 4 | 9.07 | 0.00 |
| 5 | 4.96 | 0.00 |
| 6 | 10.19 | 4.38 |